Record 1
Material: Ca2NdZn2
Method: DFT, PBE
State: optimized geometry

Results
Energy above the most stable polymorph in this dataset, eV/atom: 0.061
ρ, g/cm3: 3.858
Magnetic moment, μB/atom: 0.000
Total DFT energy (no corrections), eV per atom: -2.38
Formation enthalpy at 0 K, kJ/mol of formula units: -56.9

The structure in POSCAR format:
```
Ca2NdZn2
1.0
-2.5982 -3.9155 -0.5003
1.6935 -0.4057 -5.6197
7.0901 -5.7437 8.1305
Ca Nd Zn
4 2 4
Direct
0.2500 0.7635 0.8754
0.7500 0.2365 0.1246
0.2500 0.2947 0.5440
0.7500 0.7053 0.4560
0.2500 0.8073 0.2101
0.7500 0.1927 0.7899
0.2500 0.8945 0.6512
0.7500 0.1055 0.3488
0.2500 0.3454 0.9687
0.7500 0.6546 0.0313
```


Record 2
Material: CaNd2Zn3
Method: DFT, PBE
State: optimized geometry

Results
Energy above the most stable polymorph in this dataset, eV/atom: 0.000
ρ, g/cm3: 5.843
Magnetic moment, μB/atom: 0.000
Total DFT energy (no corrections), eV per atom: -2.86
Formation enthalpy at 0 K, kJ/mol of formula units: -175.7

The structure in POSCAR format:
```
CaNd2Zn3
1.0
-1.4064 -2.5926 -4.2861
3.6358 -1.9709 3.1570
-9.0266 -6.0478 6.6201
Ca Nd Zn
2 4 6
Direct
0.3333 0.6667 0.6673
0.6667 0.3333 0.3327
0.0000 0.0000 0.5000
0.3333 0.6667 0.1717
0.6667 0.3333 0.8283
0.0000 0.0000 0.0000
0.3333 0.6667 0.4168
0.6667 0.3333 0.0818
0.0000 0.0000 0.7497
0.0000 0.0000 0.2503
0.3333 0.6667 0.9182
0.6667 0.3333 0.5832
```


Record 3
Material: Ca2NdZn2
Method: DFT, PBE
State: optimized geometry

Results
Energy above the most stable polymorph in this dataset, eV/atom: 0.000
ρ, g/cm3: 4.220
Magnetic moment, μB/atom: 0.000
Total DFT energy (no corrections), eV per atom: -2.44
Formation enthalpy at 0 K, kJ/mol of formula units: -86.3

The structure in POSCAR format:
```
Ca2NdZn2
1.0
-2.4615 1.1185 -2.5443
-2.1055 -4.8539 -0.0968
-7.7881 3.1464 11.6337
Ca Nd Zn
4 2 4
Direct
0.0433 0.7500 0.0868
0.9567 0.2500 0.9132
0.2222 0.7500 0.4446
0.7778 0.2500 0.5554
0.8631 0.7500 0.7269
0.1369 0.2500 0.2731
0.6317 0.7500 0.2637
0.3683 0.2500 0.7363
0.4497 0.7500 0.8989
0.5503 0.2500 0.1011
```


Record 4
Material: CaNd5Zn3
Method: DFT, PBE
State: optimized geometry

Results
ρ, g/cm3: 6.266
Magnetic moment, μB/atom: 0.000
Total DFT energy (no corrections), eV per atom: -3.43
Formation enthalpy at 0 K, kJ/mol of formula units: -118.7

The structure in POSCAR format:
```
CaNd5Zn3
1.0
-3.3139 -2.5309 5.5849
-0.3913 -8.2548 -3.9731
7.1731 2.2200 5.2623
Ca Nd Zn
2 10 6
Direct
0.0000 0.0000 0.0000
0.5000 0.0000 0.0000
0.0000 0.6666 0.3333
0.5000 0.3334 0.6667
0.0000 0.3334 0.6667
0.5000 0.6666 0.3333
0.7500 0.6682 0.6682
0.7500 0.0000 0.3318
0.7500 0.3318 0.0000
0.2500 0.3318 0.3318
0.2500 0.0000 0.6682
0.2500 0.6682 0.0000
0.7500 0.3338 0.3338
0.7500 0.0000 0.6662
0.7500 0.6661 0.0000
0.2500 0.6662 0.6662
0.2500 0.0000 0.3338
0.2500 0.3339 0.0000
```


Record 5
Material: Ca4NdZn5
Method: DFT, PBE
State: optimized geometry

Results
ρ, g/cm3: 4.202
Magnetic moment, μB/atom: 0.014
Total DFT energy (no corrections), eV per atom: -2.16
Formation enthalpy at 0 K, kJ/mol of formula units: -241.4

The structure in POSCAR format:
```
Ca4NdZn5
1.0
3.6827 0.0000 0.0000
0.0000 3.6827 0.0000
0.0000 0.0000 18.4030
Ca Nd Zn
4 1 5
Direct
0.0000 0.0000 0.2007
0.0000 0.0000 0.3998
0.0000 0.0000 0.6002
0.0000 0.0000 0.7993
0.0000 0.0000 0.0000
0.5000 0.5000 0.0986
0.5000 0.5000 0.3007
0.5000 0.5000 0.5000
0.5000 0.5000 0.6993
0.5000 0.5000 0.9014
```


Record 6
Material: CaNd2Zr
Method: DFT, PBE
State: optimized geometry

Results
Energy above the most stable polymorph in this dataset, eV/atom: 0.029
ρ, g/cm3: 5.326
Magnetic moment, μB/atom: 0.000
Total DFT energy (no corrections), eV per atom: -4.88
Formation enthalpy at 0 K, kJ/mol of formula units: 55.5

The structure in POSCAR format:
```
CaNd2Zr
1.0
-1.0424 1.1989 3.1752
2.0351 -0.5430 2.8582
5.9881 10.5876 -0.0471
Ca Nd Zr
1 2 1
Direct
0.4996 0.4996 0.5013
0.0743 0.0743 0.7771
0.2594 0.2594 0.2218
0.6667 0.6667 0.9998
```


Question: Which formula does entry 5 have?
Answer: Ca4NdZn5


Question: What is the formula in the sixth record?
Answer: CaNd2Zr


Question: Which formula does entry 2 have?
Answer: CaNd2Zn3